1.
Below is a geometry-optimized HgPtSO structure, with properties calculated at the GGA-PBE level.

abc: 3.9257 3.9257 8.6153
angles: 90.00 90.00 90.00
Last column: nearest neighbours and their distance in Å.
Space group P4/nmm (No. 129, origin choice 2)
Inequivalent atoms, fractional coordinates:
Hg1 0.2500 0.7500 0.0000 [2 per cell]  4 Hg 2.78, 4 Pt 2.91
Pt1 0.2500 0.2500 0.2495 [2 per cell]  1 O 2.22
S1 0.2500 0.2500 0.6822 [2 per cell]  1 O 1.51
O1 0.2500 0.2500 0.5068 [2 per cell]  1 S 1.51

2.
Below is a geometry-optimized HgPtSO structure, with properties calculated at the GGA-PBE level.

abc: 3.6556 3.6556 10.2275
angles: 90.00 90.00 90.00
Last column: nearest neighbours and their distance in Å.
Space group P4/nmm (No. 129, origin choice 2)
Inequivalent atoms, fractional coordinates:
Hg1 0.2500 0.2500 0.1312 [2 per cell]  4 O 2.27, 1 S 2.52
Pt1 0.2500 0.2500 0.6197 [2 per cell]  5 S 2.47-2.58
S1 0.2500 0.2500 0.3781 [2 per cell]  5 Pt 2.47-2.58, 1 Hg 2.52
O1 0.2500 0.7500 0.0000 [2 per cell]  4 Hg 2.27

3.
Below is a geometry-optimized HgPtSO structure, with properties calculated at the GGA-PBE level.

abc: 7.1522 9.0102 8.5892
angles: 90.00 90.00 90.00
Last column: nearest neighbours and their distance in Å.
Space group Pbca (No. 61)
Inequivalent atoms, fractional coordinates:
Hg1 0.2425 0.0593 0.0014 [8 per cell]  2 O 2.41-2.60, 2 S 2.54-2.62
Pt1 0.0099 0.2025 0.2417 [8 per cell]  2 O 2.08-2.09, 1 S 2.31
S1 0.0753 0.0467 0.7302 [8 per cell]  2 Pt 2.31-2.34, 1 Hg 2.54
O1 0.2451 0.7022 0.3741 [8 per cell]  2 Pt 2.08-2.09

4.
Below is a geometry-optimized HgPtSO structure, with properties calculated at the GGA-PBE level.

abc: 4.2194 4.2194 8.0007
angles: 90.00 90.00 90.00
Last column: nearest neighbours and their distance in Å.
Space group P4/nmm (No. 129, origin choice 2)
Inequivalent atoms, fractional coordinates:
Hg1 0.2500 0.2500 0.1727 [2 per cell]  5 S 2.68-2.98, 1 Pt 2.92
Pt1 0.2500 0.2500 0.5379 [2 per cell]  4 O 2.13
S1 0.2500 0.2500 0.8378 [2 per cell]  1 Pt 2.40, 1 Hg 2.68
O1 0.2500 0.7500 0.5000 [2 per cell]  4 Pt 2.13

5.
Below is a geometry-optimized HgPtSeO structure, with properties calculated at the GGA-PBE level.

abc: 5.0234 5.0234 6.7133
angles: 90.00 90.00 90.00
Last column: nearest neighbours and their distance in Å.
Space group P4/nmm (No. 129, origin choice 2)
Inequivalent atoms, fractional coordinates:
Hg1 0.2500 0.2500 0.1855 [2 per cell]  1 O 2.07
Pt1 0.2500 0.2500 0.5854 [2 per cell]  1 O 1.96
Se1 0.2500 0.7500 0.5000 [2 per cell]  4 Pt 2.58
O1 0.2500 0.2500 0.8776 [2 per cell]  1 Pt 1.96, 1 Hg 2.07

6.
Below is a geometry-optimized HgPtSeO structure, with properties calculated at the GGA-PBE level.

abc: 3.9849 3.9849 8.7557
angles: 90.00 90.00 90.00
Last column: nearest neighbours and their distance in Å.
Space group P4/nmm (No. 129, origin choice 2)
Inequivalent atoms, fractional coordinates:
Hg1 0.2500 0.7500 0.0000 [2 per cell]  4 Hg 2.82, 4 Pt 2.93
Pt1 0.2500 0.2500 0.2458 [2 per cell]  1 O 2.13
Se1 0.2500 0.2500 0.6833 [2 per cell]  1 O 1.70
O1 0.2500 0.2500 0.4890 [2 per cell]  1 Se 1.70

7.
Below is a geometry-optimized HgPtSeO structure, with properties calculated at the GGA-PBE level.

abc: 6.5697 9.1635 4.8344
angles: 90.00 90.00 90.00
Last column: nearest neighbours and their distance in Å.
Space group Pca2_1 (No. 29)
Inequivalent atoms, fractional coordinates:
Hg1 0.1255 0.0892 0.0000 [4 per cell]  1 O 2.25
Pt1 0.1060 0.6408 0.9935 [4 per cell]  1 O 2.08
Se1 0.0135 0.3766 0.9933 [4 per cell]  4 Pt 2.50-2.68, 1 Hg 2.73
O1 0.0127 0.8573 0.9923 [4 per cell]  1 Pt 2.08, 1 Hg 2.25

8.
Below is a geometry-optimized HgPtSeO structure, with properties calculated at the GGA-PBE level.

abc: 6.1436 8.2558 5.7976
angles: 90.00 90.00 90.00
Last column: nearest neighbours and their distance in Å.
Space group Pca2_1 (No. 29)
Inequivalent atoms, fractional coordinates:
Hg1 0.0155 0.2064 0.0000 [4 per cell]  2 Se 2.65-2.71, 2 Pt 2.71-2.72, 1 O 2.84
Pt1 0.1199 0.3744 0.6131 [4 per cell]  3 O 2.06-2.19
Se1 0.0842 0.8449 0.9383 [4 per cell]  1 Pt 2.42, 2 Hg 2.65-2.71
O1 0.1519 0.5081 0.2922 [4 per cell]  3 Pt 2.06-2.19

Short version: energy above the lowest structure with this stoichiometry = 250.2 451.2 6.5 314.8 104.3 173.9 0.0 5.5 meV/atom, in the order given.
Short version: volume = 16.6 17.1 17.3 17.8 21.2 17.4 18.2 18.4 Å³/atom, in the order given.